Here is crystalline FeSbN2F at its relaxed geometry from the Alexandria database. Energies are from PBE with a Hubbard U.

The space group is P4/mmm (No. 123) and the conventional cell measures 4.0807, 4.0807 and 4.1093 Å, with angles of 90.00, 90.00 and 90.00 degrees. Symmetry generates all atoms from Fe at (0.0000, 0.0000, 0.0000), Sb at (0.5000, 0.5000, 0.5000), N at (0.0000, 0.5000, 0.5000) and F at (0.5000, 0.5000, 0.0000).

As for the spin magnetization: 3.9 Bohr magnetons per cell. As for the calculated density: 5.45 g cm⁻³. The calculation puts the polymorph energy (0 for the lowest one) at 0.99 eV/f.u.